SiHgCl2: optimized geometry, GGA-PBE.

Unit cell a=4.7056 b=4.7056 c=4.0827 alpha=90.00 beta=90.00 gamma=90.00
Last column: nearest neighbours and their distance in Å.
Space group P4/mmm (No. 123)
One atom of each set of equivalent atoms:
Si 0.0000 0.0000 0.0000 [1 per cell]  8 Cl 3.11, 4 Hg 3.33
Hg 0.5000 0.5000 0.0000 [1 per cell]  8 Cl 3.11, 4 Si 3.33
Cl 0.0000 0.5000 0.5000 [2 per cell]  4 Hg 3.11, 4 Si 3.11, 4 Cl 3.33

VASP energy = -2.144 eV per atom

TiSnMo2: optimized geometry, GGA-PBE.

Unit cell a=3.8675 b=3.8675 c=19.8468 alpha=90.00 beta=90.00 gamma=90.00
Last column: nearest neighbours and their distance in Å.
Space group I-42d (No. 122)
One atom of each set of equivalent atoms:
Ti 0.0000 0.0000 0.0000 [4 per cell]  4 Sn 2.73, 4 Mo 2.82
Sn 0.0000 0.0000 0.5000 [4 per cell]  4 Ti 2.73, 4 Mo 2.85
Mo 0.2380 0.2500 0.1250 [8 per cell]  4 Mo 2.67-2.80, 2 Ti 2.82, 2 Sn 2.85

VASP energy = -7.900 eV per atom
Formation energy from the elements = 0.490 eV/atom

TiMnCu2B: optimized geometry, GGA-PBE.

Unit cell a=4.6320 b=4.6320 c=4.2035 alpha=90.00 beta=90.00 gamma=90.00
Last column: nearest neighbours and their distance in Å.
Space group P4/mmm (No. 123)
One atom of each set of equivalent atoms:
Ti 0.0000 0.0000 0.0000 [1 per cell]  2 Mn 2.10, 4 Cu 2.32
Mn 0.0000 0.0000 0.5000 [1 per cell]  2 Ti 2.10
Cu 0.0000 0.5000 0.0000 [2 per cell]  2 Ti 2.32
B 0.5000 0.5000 0.5000 [1 per cell]  8 Cu 3.13, 4 Mn 3.28

VASP energy = -4.432 eV per atom
Formation energy from the elements = 1.955 eV/atom